DFT (GGA-PBE) results for a geometry-optimized Rb2NaGaAu2 structure.

abc: 6.9744 7.1986 9.3353
angles: 112.68 111.93 90.00
Sites, in units of the cell vectors:
Ga1 0.5000 0.7500 0.0000
Au1 0.2079 0.9148 0.8297
Au2 0.7921 0.0852 0.1703
Rb1 0.5815 0.8246 0.6493
Na1 0.0000 0.7500 0.0000
Ga2 0.5000 0.2500 0.0000
Rb2 0.4185 0.1754 0.3507
Au3 0.3782 0.5852 0.1703
Rb3 0.9323 0.6754 0.3507
Rb4 0.0677 0.3246 0.6493
Na2 0.0000 0.2500 0.0000
Au4 0.6218 0.4148 0.8297

Raw total energy   -2.4089 eV/atom
Volume   33.0 A^3/atom
Energy relative to the elements   -1.6 eV/f.u.
Magnetic moment   0.000 μB per atom

---

DFT (GGA-PBE) results for a geometry-optimized NaAc4Sn15 structure.

abc: 4.8697 4.8697 24.6053
angles: 90.00 90.00 90.00
Sites, in units of the cell vectors:
Sn1 0.5000 0.0000 0.0924
Sn2 0.0000 0.5000 0.0924
Ac1 0.0000 0.0000 0.3985
Sn3 0.5000 0.0000 0.2972
Sn4 0.5000 0.0000 0.7028
Sn5 0.5000 0.0000 0.5000
Ac2 0.0000 0.0000 0.8026
Sn6 0.0000 0.5000 0.5000
Ac3 0.0000 0.0000 0.6015
Sn7 0.5000 0.5000 0.1938
Sn8 0.5000 0.5000 0.3993
Sn9 0.5000 0.5000 0.8062
Sn10 0.0000 0.5000 0.9076
Ac4 0.0000 0.0000 0.1974
Na1 0.0000 0.0000 0.0000
Sn11 0.5000 0.5000 0.0000
Sn12 0.0000 0.5000 0.7028
Sn13 0.0000 0.5000 0.2972
Sn14 0.5000 0.5000 0.6007
Sn15 0.5000 0.0000 0.9076

Raw total energy   -4.3076 eV/atom
Volume   29.2 A^3/atom
Energy relative to the elements   -8.4 eV/f.u.
Magnetic moment   0.000 μB per atom

---

- Among the records above, which one has the highest energy relative to the elements?
  Rb2NaGaAu2